Li3Ag5Sn, relaxed, DFT PBE; V = 17.538 A^3/atom; E = -25.4 eV per formula unit; spin magnetization = 0.00 μB per formula unit; energy of formation from the pure elements = -0.1549 eV/atom; space group = P6_3/mcm; N(E_F) = 3.90 states/eV/f.u.; ΔE to the lowest computed polymorph = 0.0000 eV per atom
1.0
-1.310 0.412 5.677
-7.693 -0.431 -1.744
4.103 -6.598 1.426
Li Ag Sn
6 10 2
Direct
0.250 0.000 0.335
0.750 0.665 0.000
0.250 0.665 0.665
0.250 0.335 0.000
0.750 0.335 0.335
0.750 0.000 0.665
0.250 0.000 0.660
0.000 0.333 0.667
0.000 0.667 0.333
0.250 0.660 0.000
0.500 0.333 0.667
0.500 0.667 0.333
0.750 0.000 0.340
0.750 0.660 0.660
0.750 0.340 0.000
0.250 0.340 0.340
0.500 0.000 0.000
0.000 0.000 0.000